(1)
A geometry-optimized Pm4DyTe5 structure. Source: Alexandria via LeMat-Bulk, functional PBE-GGA.

a = 9.9388 Å, b = 9.9388 Å, c = 6.2850 Å
α = 90.00°, β = 90.00°, γ = 90.00°
Closest atoms and distances in Å follow each position.
Space group I4 (No. 79)
Symmetry-distinct sites (fractional):
Pm1 0.0932 0.3097 0.0000 x8  6 Te 3.13-3.21
Dy1 0.0000 0.0000 0.4989 x2  6 Te 3.06-3.14
Te1 0.0000 0.0000 0.9990 x2  2 Dy 3.14, 4 Pm 3.21
Te2 0.1039 0.2900 0.5000 x8  1 Dy 3.06, 5 Pm 3.13-3.17

Properties
Formation energy from raw total energies, eV/atom: -1.382
VASP energy, eV for the cell shown: -106.26
Volume, A^3/atom: 31.042

(2)
A geometry-optimized NbFe3W structure. Source: Alexandria via LeMat-Bulk, functional PBE-GGA.

a = 4.3603 Å, b = 4.3603 Å, c = 4.3603 Å
α = 90.00°, β = 90.00°, γ = 90.00°
Closest atoms and distances in Å follow each position.
Space group Pm-3m (No. 221)
Symmetry-distinct sites (fractional):
Nb1 0.0000 0.0000 0.0000 x1  12 Fe 3.08
Fe1 0.0000 0.5000 0.5000 x3  2 W 2.18
W1 0.5000 0.5000 0.5000 x1  6 Fe 2.18

Properties
E above lowest polymorph, meV per atom: 0
DFT formation energy, eV per atom: 1.526
VASP energy, eV for the cell shown: -40.78
Volume, A^3/atom: 16.580

(3)
A geometry-optimized La2CdCo structure. Source: Alexandria via LeMat-Bulk, functional PBE-GGA.

a = 5.0526 Å, b = 5.0526 Å, c = 7.1635 Å
α = 90.00°, β = 90.00°, γ = 90.00°
Closest atoms and distances in Å follow each position.
Space group I-4m2 (No. 119)
Symmetry-distinct sites (fractional):
La1 0.0000 0.0000 0.0000 x2  4 Cd 3.10, 4 La 3.10
La2 0.0000 0.5000 0.2500 x2  4 La 3.10, 4 Co 3.10
Cd1 0.0000 0.5000 0.7500 x2  4 La 3.10, 4 Co 3.10
Co1 0.0000 0.0000 0.5000 x2  4 Cd 3.10, 4 La 3.10

Properties
DFT formation energy, eV per atom: 0.059
VASP energy, eV for the cell shown: -35.28
Volume, A^3/atom: 22.859

(4)
A geometry-optimized K3Cd5Hg12 structure. Source: Alexandria via LeMat-Bulk, functional PBE-GGA.

a = 18.4445 Å, b = 18.4445 Å, c = 18.4445 Å
α = 90.00°, β = 90.00°, γ = 90.00°
Closest atoms and distances in Å follow each position.
Space group Ia-3d (No. 230)
Symmetry-distinct sites (fractional):
K1 0.0000 0.2500 0.1250 x24  4 Hg 3.46
Cd1 0.0000 0.0000 0.0000 x16  6 Hg 2.92
Cd2 0.0000 0.2500 0.3750 x24  4 Hg 2.89
Hg1 0.0605 0.0724 0.6269 x96  2 Cd 2.89-2.92, 1 Hg 3.05

Properties
DFT formation energy, eV per atom: -0.003
VASP energy, eV for the cell shown: -92.47
Volume, A^3/atom: 39.218

(5)
A geometry-optimized RbSn3Au2 structure. Source: Alexandria via LeMat-Bulk, functional PBE-GGA.

a = 13.3364 Å, b = 9.1985 Å, c = 5.7927 Å
α = 90.00°, β = 90.00°, γ = 90.00°
Closest atoms and distances in Å follow each position.
Space group Cmcm (No. 63)
Symmetry-distinct sites (fractional):
Rb1 0.0000 0.1529 0.2500 x4  7 Sn 3.77-3.92, 4 Au 3.79, 2 Rb 4.04
Sn1 0.0000 0.4373 0.7500 x4  4 Sn 3.01-3.12
Sn2 0.1862 0.2523 0.7500 x8  4 Au 2.83-2.87, 1 Sn 3.01
Au1 0.2405 0.0000 0.0000 x8  4 Sn 2.83-2.87, 2 Au 2.90

Properties
E above lowest polymorph, meV per atom: 32
DFT formation energy, eV per atom: -0.197
VASP energy, eV for the cell shown: -82.84
Volume, A^3/atom: 29.609

(6)
A geometry-optimized Dy2MgZnAu4 structure. Source: Alexandria via LeMat-Bulk, functional PBE-GGA.

a = 4.8954 Å, b = 4.8954 Å, c = 23.5943 Å
α = 90.00°, β = 90.00°, γ = 120.00°
Closest atoms and distances in Å follow each position.
Space group R-3m (No. 166, hexagonal axes)
Symmetry-distinct sites (fractional):
Dy1 0.0000 0.0000 0.2465 x6  8 Au 2.94-3.03
Mg1 0.0000 0.0000 0.0000 x3  8 Au 2.86-2.99
Zn1 0.0000 0.0000 0.5000 x3  8 Au 2.97-3.02
Au1 0.0000 0.0000 0.1212 x6  1 Mg 2.86, 4 Dy 2.94-2.96, 3 Zn 3.02
Au2 0.0000 0.0000 0.3742 x6  1 Zn 2.97, 3 Mg 2.99, 4 Dy 3.01-3.03

Properties
DFT formation energy, eV per atom: -0.711
VASP energy, eV for the cell shown: -92.62
Volume, A^3/atom: 20.404

(7)
A geometry-optimized YHoInGa structure. Source: Alexandria via LeMat-Bulk, functional PBE-GGA.

a = 3.5778 Å, b = 3.5778 Å, c = 7.6979 Å
α = 90.00°, β = 90.00°, γ = 90.00°
Closest atoms and distances in Å follow each position.
Space group P4mm (No. 99)
Symmetry-distinct sites (fractional):
Y1 0.0000 0.0000 0.0000 x1  4 Ga 3.12, 4 In 3.26
Ho1 0.0000 0.0000 0.5307 x1  4 Ga 3.10, 4 In 3.24
In1 0.5000 0.5000 0.2670 x1  4 Ho 3.24, 4 Y 3.26, 4 In 3.58
Ga1 0.5000 0.5000 0.7630 x1  4 Ho 3.10, 4 Y 3.12

Properties
E above lowest polymorph, meV per atom: 0
DFT formation energy, eV per atom: -0.528
VASP energy, eV for the cell shown: -18.92
Volume, A^3/atom: 24.634

(8)
A geometry-optimized SrB3Ru structure. Source: Alexandria via LeMat-Bulk, functional PBE-GGA.

a = 4.1489 Å, b = 4.1489 Å, c = 4.1489 Å
α = 90.00°, β = 90.00°, γ = 90.00°
Closest atoms and distances in Å follow each position.
Space group Pm-3m (No. 221)
Symmetry-distinct sites (fractional):
Sr1 0.0000 0.0000 0.0000 x1  12 B 2.93
B1 0.0000 0.5000 0.5000 x3  2 Ru 2.07
Ru1 0.5000 0.5000 0.5000 x1  6 B 2.07

Properties
E above lowest polymorph, meV per atom: 0
DFT formation energy, eV per atom: 0.290
VASP energy, eV for the cell shown: -29.54
Volume, A^3/atom: 14.284

(9)
A geometry-optimized SrTcP2 structure. Source: Alexandria via LeMat-Bulk, functional PBE-GGA.

a = 6.6151 Å, b = 6.6151 Å, c = 6.6151 Å
α = 90.00°, β = 90.00°, γ = 90.00°
Closest atoms and distances in Å follow each position.
Space group F-43m (No. 216)
Symmetry-distinct sites (fractional):
Sr1 0.0000 0.0000 0.0000 x4  4 P 2.86, 4 Tc 2.86
Tc1 0.2500 0.2500 0.2500 x4  4 Sr 2.86, 4 P 2.86
P1 0.0000 0.0000 0.5000 x4  4 Tc 2.86, 4 P 2.86
P2 0.2500 0.2500 0.7500 x4  4 P 2.86, 4 Sr 2.86

Properties
E above lowest polymorph, meV per atom: 1210
DFT formation energy, eV per atom: 0.638
VASP energy, eV for the cell shown: -81.26
Volume, A^3/atom: 18.092

(10)
A geometry-optimized Ba3TlOs structure. Source: Alexandria via LeMat-Bulk, functional PBE-GGA.

a = 5.9902 Å, b = 5.9902 Å, c = 5.9902 Å
α = 90.00°, β = 90.00°, γ = 90.00°
Closest atoms and distances in Å follow each position.
Space group Pm-3m (No. 221)
Symmetry-distinct sites (fractional):
Ba1 0.0000 0.0000 0.5000 x3  2 Os 3.00
Tl1 0.5000 0.5000 0.5000 x1  12 Ba 4.24
Os1 0.0000 0.0000 0.0000 x1  6 Ba 3.00

Properties
DFT formation energy, eV per atom: 0.310
VASP energy, eV for the cell shown: -17.81
Volume, A^3/atom: 42.988

(11)
A geometry-optimized LaSc2 structure. Source: Alexandria via LeMat-Bulk, functional PBE-GGA.

a = 5.9942 Å, b = 5.9942 Å, c = 16.3939 Å
α = 90.00°, β = 90.00°, γ = 120.00°
Closest atoms and distances in Å follow each position.
Space group R32 (No. 155, hexagonal axes)
Symmetry-distinct sites (fractional):
La1 0.0000 0.0000 0.1644 x6  9 Sc 3.38-3.46, 3 La 3.46
Sc1 0.0000 0.0000 0.5000 x3  6 Sc 3.37, 6 La 3.46
Sc2 0.0000 0.6586 0.0000 x9  8 Sc 3.37-3.54, 4 La 3.38-3.40

Properties
E above lowest polymorph, meV per atom: 31
DFT formation energy, eV per atom: 0.092
VASP energy, eV for the cell shown: -103.88
Volume, A^3/atom: 28.340

(12)
A geometry-optimized Nd2DySe4 structure. Source: Alexandria via LeMat-Bulk, functional PBE-GGA.

a = 8.3170 Å, b = 8.4013 Å, c = 11.6111 Å
α = 90.00°, β = 90.00°, γ = 90.00°
Closest atoms and distances in Å follow each position.
Space group Imma (No. 74)
Symmetry-distinct sites (fractional):
Nd1 0.0000 0.0000 0.0000 x4  6 Se 2.96-2.99
Nd2 0.2500 0.2500 0.2500 x4  6 Se 2.95-3.00
Dy1 0.2500 0.2500 0.7500 x4  6 Se 2.86-2.91
Se1 0.0000 0.0079 0.7426 x8  2 Dy 2.91, 3 Nd 2.99-3.00
Se2 0.2494 0.2500 0.5041 x8  1 Dy 2.86, 3 Nd 2.95-2.96

Properties
E above lowest polymorph, meV per atom: 0
Formation energy from raw total energies, eV/atom: -1.863
VASP energy, eV for the cell shown: -164.46
Volume, A^3/atom: 28.975